A plane-wave DFT calculation with GGA-PBE was carried out for an optimized crystal structure of Na3TaPb3S8.

Cell and atoms, written as extended XYZ:
```
15
Lattice="3.998 2.308 6.845 -3.998 2.308 6.845 0.000 -4.617 6.845" Properties=species:S:1:pos:R:3 pbc="T T T"
Na -1.999 -1.154 6.845
Na -1.999 1.154 13.689
Na 0.000 2.308 6.845
Ta 0.000 0.000 10.267
Pb -3.998 0.000 10.267
Pb -1.999 1.154 3.422
Pb 1.999 1.154 3.422
S 0.000 0.000 5.129
S -1.744 -1.007 11.708
S 0.000 -2.014 8.825
S -1.744 1.007 8.825
S 1.744 -1.007 11.708
S 0.000 2.014 11.708
S 1.744 1.007 8.825
S 0.000 0.000 15.404
```

Results
Electronic total energy, Ha/atom: -0.1749